Below is a relaxed structure of Ba2ScTa, with properties calculated at the PBE level.

Cell lengths 12.2064, 12.2064, 12.2064 Å; angles 16.38, 16.38, 16.38 degrees
Last column: nearest neighbours and their distance in Å.
Atoms (fractional coordinates):
Ba  0.2435  0.2435  0.2435  3 Ta 3.43, 6 Ba 3.48, 3 Sc 3.82
Ba  0.7565  0.7565  0.7565  3 Ta 3.43, 6 Ba 3.48, 3 Sc 3.82
Sc  0.0000  0.0000  0.0000  6 Sc 3.48, 6 Ba 3.82
Ta  0.5000  0.5000  0.5000  6 Ba 3.43, 6 Ta 3.48

Output
As for the formation energy: 0.984 eV per atom.



Below is a relaxed structure of MgSbPdI2, with properties calculated at the PBE level.

Cell lengths 5.5149, 5.5149, 5.0669 Å; angles 90.00, 90.00, 90.00 degrees
Last column: nearest neighbours and their distance in Å.
Atoms (fractional coordinates):
Mg  0.0000  0.0000  0.0000  2 Pd 2.53, 4 I 2.76
Sb  0.5000  0.5000  0.5000  8 I 3.74, 4 Pd 3.90
Pd  0.0000  0.0000  0.5000  2 Mg 2.53
I  0.0000  0.5000  0.0000  2 Mg 2.76
I  0.5000  0.0000  0.0000  2 Mg 2.76

Output
Its formation energy from raw total energies is 1.858 eV per formula unit.



Below is a relaxed structure of Li2CaP, with properties calculated at the PBE level.

Cell lengths 5.6820, 5.6820, 5.6820 Å; angles 42.93, 42.93, 42.93 degrees
Last column: nearest neighbours and their distance in Å.
Atoms (fractional coordinates):
Li  0.2012  0.2012  0.2012  3 P 2.46, 3 Li 2.63
Li  0.7988  0.7988  0.7988  3 P 2.46, 3 Li 2.63
Ca  0.0000  0.0000  0.0000  8 Li 3.11-3.15
P  0.5000  0.5000  0.5000  6 Li 2.46

Output
As for the formation energy: -0.511 eV per atom.



Below is a relaxed structure of Nd6CdRh2, with properties calculated at the PBE level.

Cell lengths 8.7697, 8.7697, 8.7697 Å; angles 113.30, 110.53, 104.70 degrees
Last column: nearest neighbours and their distance in Å.
Atoms (fractional coordinates):
Nd  0.0344  0.2343  0.8001  1 Rh 2.84
Nd  0.1795  0.2896  0.4691  3 Rh 3.05-3.19, 1 Cd 3.32
Nd  0.1795  0.7104  0.8899  3 Rh 3.05-3.19, 1 Cd 3.32
Nd  0.3281  0.0205  0.6925  3 Rh 2.80-3.10
Nd  0.3281  0.6356  0.3075  3 Rh 2.80-3.10
Nd  0.4342  0.2343  0.1999  1 Rh 2.84
Nd  0.5658  0.7657  0.8001  1 Rh 2.84
Nd  0.6719  0.3644  0.6925  3 Rh 2.80-3.10
Nd  0.6719  0.9795  0.3075  3 Rh 2.80-3.10
Nd  0.8205  0.2896  0.1101  3 Rh 3.05-3.19, 1 Cd 3.32
Nd  0.8205  0.7104  0.5309  3 Rh 3.05-3.19, 1 Cd 3.32
Nd  0.9656  0.7657  0.1999  1 Rh 2.84
Cd  0.0000  0.0000  0.0000  8 Nd 3.21-3.32, 2 Rh 3.33
Cd  0.5000  0.5000  0.0000  12 Nd 3.48-3.79
Rh  0.1319  0.6319  0.5000  6 Nd 2.80-3.05, 1 Rh 2.83
Rh  0.3335  0.0000  0.3335  6 Nd 2.84-3.10
Rh  0.6665  0.0000  0.6665  6 Nd 2.84-3.10
Rh  0.8681  0.3681  0.5000  6 Nd 2.80-3.05, 1 Rh 2.83

Output
As for the formation energy: -0.433 eV per atom.



Below is a relaxed structure of Dy4ThMg, with properties calculated at the PBE level.

Cell lengths 3.5799, 3.5799, 14.2351 Å; angles 90.00, 90.00, 90.00 degrees
Last column: nearest neighbours and their distance in Å.
Atoms (fractional coordinates):
Dy  0.0000  0.0000  0.1514  4 Mg 3.32, 8 Dy 3.57-3.58
Dy  0.0000  0.0000  0.8486  4 Mg 3.32, 8 Dy 3.57-3.58
Dy  0.5000  0.5000  0.3281  4 Th 3.52, 8 Dy 3.57-3.58
Dy  0.5000  0.5000  0.6719  4 Th 3.52, 8 Dy 3.57-3.58
Th  0.0000  0.0000  0.5000  8 Dy 3.52, 4 Th 3.58
Mg  0.5000  0.5000  0.0000  8 Dy 3.32, 4 Mg 3.58

Output
As for the formation energy: -0.001 eV per atom.



Below is a relaxed structure of CaTbDyHo, with properties calculated at the PBE level.

Cell lengths 5.7343, 5.7343, 5.7343 Å; angles 60.00, 60.00, 60.00 degrees
Last column: nearest neighbours and their distance in Å.
Atoms (fractional coordinates):
Ca  0.0000  0.0000  0.0000  4 Dy 3.51, 4 Tb 3.51
Tb  0.2500  0.2500  0.2500  4 Ho 3.51, 4 Ca 3.51
Dy  0.7500  0.7500  0.7500  4 Ca 3.51, 4 Ho 3.51
Ho  0.5000  0.5000  0.5000  4 Dy 3.51, 4 Tb 3.51

Output
As for the formation energy: 0.168 eV per atom.



Below is a relaxed structure of Fe8Rh3, with properties calculated at the PBE level.

Cell lengths 12.9832, 12.9832, 12.9832 Å; angles 168.70, 161.99, 21.31 degrees
Last column: nearest neighbours and their distance in Å.
Atoms (fractional coordinates):
Fe  0.0468  0.0468  0.0000  5 Fe 2.35-2.56
Fe  0.2335  0.2335  0.0000  10 Fe 2.40-2.56, 2 Rh 2.67
Fe  0.3169  0.8169  0.5000  7 Fe 2.31-2.56
Fe  0.4072  0.9072  0.5000  5 Fe 2.31-2.56
Fe  0.5928  0.0928  0.5000  5 Fe 2.31-2.56
Fe  0.6831  0.1831  0.5000  7 Fe 2.31-2.56
Fe  0.7665  0.7665  0.0000  10 Fe 2.40-2.56, 2 Rh 2.67
Fe  0.9532  0.9532  0.0000  5 Fe 2.35-2.56
Rh  0.1415  0.6415  0.5000  2 Rh 2.56, 12 Fe 2.62-2.74
Rh  0.5000  0.5000  0.0000  2 Rh 2.56, 12 Fe 2.68-2.69
Rh  0.8585  0.3585  0.5000  2 Rh 2.56, 12 Fe 2.62-2.74

Output
As for the formation energy: 0.129 eV per atom.



Below is a relaxed structure of NaPt2Cl, with properties calculated at the PBE level.

Cell lengths 4.6308, 4.6308, 4.6308 Å; angles 60.00, 60.00, 60.00 degrees
Last column: nearest neighbours and their distance in Å.
Atoms (fractional coordinates):
Na  0.0000  0.0000  0.0000  8 Pt 2.84
Pt  0.2500  0.2500  0.2500  4 Cl 2.84, 4 Na 2.84
Pt  0.7500  0.7500  0.7500  4 Cl 2.84, 4 Na 2.84
Cl  0.5000  0.5000  0.5000  8 Pt 2.84

Output
Its formation energy from raw total energies is 2.462 eV per formula unit.



Below is a relaxed structure of DyErAs2O8, with properties calculated at the PBE level.

Cell lengths 6.6704, 6.6704, 6.6704 Å; angles 135.68, 135.68, 64.47 degrees
Last column: nearest neighbours and their distance in Å.
Atoms (fractional coordinates):
Dy  0.0000  0.0000  0.0000  8 O 2.34-2.42
Er  0.2500  0.7500  0.5000  8 O 2.33-2.41
As  0.5000  0.5000  0.0000  4 O 1.73
As  0.7500  0.2500  0.5000  4 O 1.73
O  0.2713  0.6735  0.1044  1 As 1.73
O  0.3265  0.4309  0.5979  1 As 1.73
O  0.4179  0.0196  0.0953  1 As 1.73
O  0.5691  0.1670  0.8956  1 As 1.73
O  0.6774  0.5821  0.6017  1 As 1.73
O  0.8330  0.7287  0.4021  1 As 1.73
O  0.9244  0.3226  0.9047  1 As 1.73
O  0.9804  0.0756  0.3983  1 As 1.73

Output
Its formation energy from raw total energies is -28.339 eV per formula unit.



Below is a relaxed structure of Dy2MnAl5Fe2, with properties calculated at the PBE level.

Cell lengths 10.4592, 10.4592, 3.0315 Å; angles 90.00, 90.00, 90.00 degrees
Last column: nearest neighbours and their distance in Å.
Atoms (fractional coordinates):
Dy  0.1867  0.3133  0.0000  1 Fe 2.75, 2 Dy 3.03
Dy  0.3133  0.8133  0.0000  1 Fe 2.75, 2 Dy 3.03
Dy  0.6867  0.1867  0.0000  1 Fe 2.75, 2 Dy 3.03
Dy  0.8133  0.6867  0.0000  1 Fe 2.75, 2 Dy 3.03
Mn  0.0000  0.0000  0.0000  8 Al 2.63
Mn  0.5000  0.5000  0.0000  8 Al 2.63
Al  0.0000  0.5000  0.5000  4 Fe 2.42
Al  0.0522  0.8011  0.5000  2 Fe 2.49, 2 Mn 2.63
Al  0.1989  0.0522  0.5000  2 Fe 2.49, 2 Mn 2.63
Al  0.3011  0.5522  0.5000  2 Fe 2.49, 2 Mn 2.63
Al  0.4478  0.3011  0.5000  2 Fe 2.49, 2 Mn 2.63
Al  0.5000  0.0000  0.5000  4 Fe 2.42
Al  0.5522  0.6989  0.5000  2 Fe 2.49, 2 Mn 2.63
Al  0.6989  0.4478  0.5000  2 Fe 2.49, 2 Mn 2.63
Al  0.8011  0.9478  0.5000  2 Fe 2.49, 2 Mn 2.63
Al  0.9478  0.1989  0.5000  2 Fe 2.49, 2 Mn 2.63
Fe  0.1272  0.6272  0.0000  6 Al 2.42-2.49
Fe  0.3728  0.1272  0.0000  6 Al 2.42-2.49
Fe  0.6272  0.8728  0.0000  6 Al 2.42-2.49
Fe  0.8728  0.3728  0.0000  6 Al 2.42-2.49

Output
As for the formation energy: -0.198 eV per atom.



Below is a relaxed structure of HfNpTaIr, with properties calculated at the PBE level.

Cell lengths 4.7169, 4.7169, 4.7169 Å; angles 60.00, 60.00, 60.00 degrees
Last column: nearest neighbours and their distance in Å.
Atoms (fractional coordinates):
Hf  0.0000  0.0000  0.0000  4 Ir 2.89, 4 Np 2.89
Np  0.7500  0.7500  0.7500  4 Hf 2.89, 4 Ta 2.89
Ta  0.5000  0.5000  0.5000  4 Np 2.89, 4 Ir 2.89
Ir  0.2500  0.2500  0.2500  4 Hf 2.89, 4 Ta 2.89

Output
As for the formation energy: 0.088 eV per atom.



Below is a relaxed structure of Nb2GaPd8, with properties calculated at the PBE level.

Cell lengths 7.6855, 7.6855, 7.6855 Å; angles 145.49, 136.21, 56.91 degrees
Last column: nearest neighbours and their distance in Å.
Atoms (fractional coordinates):
Nb  0.1897  0.1897  0.0000  12 Pd 2.74-2.92
Nb  0.8103  0.8103  0.0000  12 Pd 2.74-2.92
Ga  0.5000  0.5000  0.0000  4 Pd 2.41
Pd  0.0973  0.3614  0.7359  1 Ga 2.41
Pd  0.2419  0.0000  0.2419  2 Ga 2.72, 8 Pd 2.77-2.96, 2 Nb 2.92
Pd  0.3168  0.8168  0.5000  8 Pd 2.76-2.88, 4 Nb 2.85-2.87
Pd  0.3745  0.6386  0.7359  1 Ga 2.41
Pd  0.6255  0.3614  0.2641  1 Ga 2.41
Pd  0.6832  0.1832  0.5000  8 Pd 2.76-2.88, 4 Nb 2.85-2.87
Pd  0.7581  0.0000  0.7581  2 Ga 2.72, 8 Pd 2.77-2.96, 2 Nb 2.92
Pd  0.9027  0.6386  0.2641  1 Ga 2.41

Output
As for the formation energy: -0.399 eV per atom.



Number 1: density of states at the Fermi level 7.28 states/eV per cell. Number 2: density of states at the Fermi level 4.67 states/eV per cell. Number 3: density of states at the Fermi level 1.47 states/eV per cell. Number 4: density of states at the Fermi level 16.54 states/eV per cell. Number 5: density of states at the Fermi level 7.88 states/eV per cell. Number 6: density of states at the Fermi level 7.69 states/eV per cell. Number 7: density of states at the Fermi level 16.12 states/eV per cell. Number 8: density of states at the Fermi level 6.47 states/eV per cell. Number 9: density of states at the Fermi level 0.00 states/eV per cell. Number 10: density of states at the Fermi level 17.42 states/eV per cell. Number 11: density of states at the Fermi level 12.97 states/eV per cell. Number 12: density of states at the Fermi level 4.58 states/eV per cell.